# 1
Computed, not measured: Nd2ZnNi12P3 after structural relaxation at the PBE level of DFT.

## Properties
energy of formation: -1.71 eV per formula unit
calculated density: 7.29 g/cm3
calculated volume: 262.2 Å³/cell

a = 6.5105 Å, b = 6.5105 Å, c = 6.5105 Å
α = 78.90°, β = 78.90°, γ = 78.90°
With the nearest neighbours (Å) after each atom.
Fractional positions:
Ni 0.1030 0.6689 0.6689  2 P 2.26
Ni 0.1565 0.1565 0.6618  1 P 2.10
P 0.0000 0.5000 0.0000  6 Ni 2.10-2.26
Ni 0.8435 0.3382 0.8435  1 P 2.10
Ni 0.6689 0.6689 0.1030  2 P 2.26
Ni 0.8970 0.3311 0.3311  2 P 2.26
Nd 0.6224 0.6224 0.6224  3 Ni 2.51
Zn 0.0000 0.0000 0.0000  6 Ni 2.37
Ni 0.3311 0.3311 0.8970  2 P 2.26
Ni 0.6689 0.1030 0.6689  2 P 2.26
Ni 0.1565 0.6618 0.1565  1 P 2.10
Ni 0.3311 0.8970 0.3311  2 P 2.26
P 0.0000 0.0000 0.5000  6 Ni 2.10-2.26
Ni 0.8435 0.8435 0.3382  1 P 2.10
Nd 0.3776 0.3776 0.3776  3 Ni 2.51
Ni 0.3382 0.8435 0.8435  1 P 2.10
P 0.5000 0.0000 0.0000  6 Ni 2.10-2.26
Ni 0.6618 0.1565 0.1565  1 P 2.10

***

# 2
Computed, not measured: Nd2ZnNi3P4 after structural relaxation at the PBE level of DFT.

## Properties
energy of formation: -8.73 eV per formula unit
calculated density: 6.91 g/cm3
calculated volume: 157.1 Å³/cell

a = 4.0807 Å, b = 4.0807 Å, c = 9.4328 Å
α = 90.00°, β = 90.00°, γ = 90.00°
With the nearest neighbours (Å) after each atom.
Fractional positions:
Nd 0.0000 0.5000 0.7597  8 P 3.05-3.09, 7 Ni 3.14-3.31, 2 Zn 3.19
P 0.5000 0.0000 0.6420  3 Ni 2.34-2.44, 2 Zn 2.44
Zn 0.5000 0.5000 0.5000  4 P 2.44
Ni 0.0000 0.5000 0.1102  5 P 2.29-2.34
P 0.0000 0.5000 0.3580  3 Ni 2.34-2.44, 2 Zn 2.44
Ni 0.0000 0.0000 0.5000  4 P 2.44
P 0.5000 0.5000 0.0000  4 Ni 2.29
Ni 0.5000 0.0000 0.8898  5 P 2.29-2.34
P 0.0000 0.0000 0.0000  4 Ni 2.29
Nd 0.5000 0.0000 0.2403  8 P 3.05-3.09, 7 Ni 3.14-3.31, 2 Zn 3.19

***

# 3
Computed, not measured: Nd2ZnNi4P3 after structural relaxation at the PBE level of DFT.

## Properties
energy of formation: -8.76 eV per formula unit
calculated density: 7.41 g/cm3
calculated volume: 152.8 Å³/cell

a = 4.0164 Å, b = 4.0164 Å, c = 9.4719 Å
α = 90.00°, β = 90.00°, γ = 90.00°
With the nearest neighbours (Å) after each atom.
Fractional positions:
Zn 0.5000 0.5000 0.5000  4 Ni 2.36
P 0.0000 0.0000 0.5000  4 Ni 2.36
Ni 0.0000 0.0000 0.0000  4 P 2.35
Ni 0.5000 0.5000 0.0000  4 P 2.35
Ni 0.0000 0.5000 0.3697  3 P 2.28-2.36, 2 Zn 2.36
P 0.0000 0.5000 0.1294  5 Ni 2.28-2.35
Ni 0.5000 0.0000 0.6303  3 P 2.28-2.36, 2 Zn 2.36
P 0.5000 0.0000 0.8706  5 Ni 2.28-2.35
Nd 0.0000 0.5000 0.7564  6 P 3.04-3.15, 8 Ni 3.06-3.08, 2 Zn 3.15
Nd 0.5000 0.0000 0.2436  6 P 3.04-3.15, 8 Ni 3.06-3.08, 2 Zn 3.15

***

# 4
Computed, not measured: NdPaNi2 after structural relaxation at the PBE level of DFT.

## Properties
energy of formation: -0.77 eV per formula unit
excess energy over the best structure of this formula in the dataset: 70 meV/atom
calculated density: 9.42 g/cm3
calculated volume: 86.9 Å³/cell

a = 3.7408 Å, b = 3.7408 Å, c = 7.4867 Å
α = 75.53°, β = 75.53°, γ = 60.00°
With the nearest neighbours (Å) after each atom.
Fractional positions:
Pa 0.0000 0.0000 0.0000  6 Ni 2.68
Ni 0.2599 0.2599 0.2203  3 Pa 2.68, 3 Nd 2.95
Ni 0.7401 0.7401 0.7797  3 Pa 2.68, 3 Nd 2.95
Nd 0.5000 0.5000 0.5000  6 Ni 2.95

***

# 5
Computed, not measured: Nd2PaNi4 after structural relaxation at the PBE level of DFT.

## Properties
energy of formation: -0.90 eV per formula unit
calculated density: 9.19 g/cm3
calculated volume: 136.2 Å³/cell

a = 5.2052 Å, b = 5.2052 Å, c = 6.2310 Å
α = 114.69°, β = 114.69°, γ = 90.00°
With the nearest neighbours (Å) after each atom.
Fractional positions:
Ni 0.8769 0.3769 0.7538  2 Ni 2.48-2.55, 2 Nd 2.65
Pa 0.0000 0.0000 0.0000  8 Ni 2.88
Ni 0.6231 0.1231 0.2462  2 Ni 2.48-2.55, 2 Nd 2.65
Ni 0.1231 0.6231 0.2462  2 Ni 2.48-2.55, 2 Nd 2.65
Ni 0.3769 0.8769 0.7538  2 Ni 2.48-2.55, 2 Nd 2.65
Nd 0.3265 0.3265 0.6529  4 Ni 2.65
Nd 0.6735 0.6735 0.3471  4 Ni 2.65

***

# 6
Computed, not measured: NdPaNi10 after structural relaxation at the PBE level of DFT.

## Properties
energy of formation: -4.08 eV per formula unit
calculated density: 9.65 g/cm3
calculated volume: 165.5 Å³/cell

a = 3.9961 Å, b = 4.9013 Å, c = 8.4499 Å
α = 90.00°, β = 90.00°, γ = 90.00°
With the nearest neighbours (Å) after each atom.
Fractional positions:
Ni 0.5000 0.2541 0.7437  8 Ni 2.41-2.49
Ni 0.5000 0.5000 0.0000  8 Ni 2.48-2.51
Ni 0.5000 0.0000 0.5000  8 Ni 2.41
Nd 0.0000 0.0000 0.0000  18 Ni 2.88-3.20
Ni 0.5000 0.2541 0.2563  8 Ni 2.41-2.49
Ni 0.0000 0.5000 0.8202  6 Ni 2.42-2.51, 1 Pa 2.71
Ni 0.0000 0.5000 0.1798  6 Ni 2.42-2.51, 1 Pa 2.71
Ni 0.5000 0.7459 0.2563  8 Ni 2.41-2.49
Ni 0.5000 0.7459 0.7437  8 Ni 2.41-2.49
Ni 0.0000 0.0000 0.6591  7 Ni 2.41-2.69
Pa 0.0000 0.5000 0.5000  6 Ni 2.71-2.79
Ni 0.0000 0.0000 0.3409  7 Ni 2.41-2.69

***

# 7
Computed, not measured: Nd2PaNi9 after structural relaxation at the PBE level of DFT.

## Properties
energy of formation: -4.10 eV per formula unit
calculated density: 9.79 g/cm3
calculated volume: 177.8 Å³/cell

a = 4.9616 Å, b = 4.9616 Å, c = 8.8160 Å
α = 73.66°, β = 73.66°, γ = 60.00°
With the nearest neighbours (Å) after each atom.
Fractional positions:
Nd 0.1385 0.1385 0.5846  12 Ni 2.88-3.21, 3 Nd 3.19
Ni 0.6669 0.6669 0.9992  6 Ni 2.46
Ni 0.3331 0.3331 0.0008  6 Ni 2.46
Nd 0.8615 0.8615 0.4154  12 Ni 2.88-3.21, 3 Nd 3.19
Ni 0.9193 0.4205 0.2396  7 Ni 2.46-2.60
Pa 0.0000 0.0000 0.0000  18 Ni 2.86-3.19
Ni 0.4205 0.4205 0.2396  7 Ni 2.46-2.60
Ni 0.5795 0.5795 0.7604  7 Ni 2.46-2.60
Ni 0.0807 0.5795 0.7604  7 Ni 2.46-2.60
Ni 0.5795 0.0807 0.7604  7 Ni 2.46-2.60
Ni 0.4205 0.9193 0.2396  7 Ni 2.46-2.60
Ni 0.5000 0.5000 0.5000  6 Ni 2.60

***

# 8
Computed, not measured: Nd2PaNi after structural relaxation at the PBE level of DFT.

## Properties
energy of formation: 1.34 eV per formula unit
calculated density: 9.13 g/cm3
calculated volume: 105.2 Å³/cell

a = 3.3832 Å, b = 3.3832 Å, c = 10.7903 Å
α = 80.98°, β = 80.98°, γ = 60.00°
With the nearest neighbours (Å) after each atom.
Fractional positions:
Ni 0.5000 0.5000 0.5000  6 Nd 2.80
Pa 0.0000 0.0000 0.0000  2 Nd 3.30, 6 Pa 3.38
Nd 0.8962 0.8962 0.3114  3 Ni 2.80
Nd 0.1038 0.1038 0.6886  3 Ni 2.80

***

# 9
Computed, not measured: NdPaNi2 after structural relaxation at the PBE level of DFT.

## Properties
energy of formation: -0.39 eV per formula unit
excess energy over the best structure of this formula in the dataset: 163 meV/atom
calculated density: 10.28 g/cm3
calculated volume: 79.6 Å³/cell

a = 4.8276 Å, b = 4.8276 Å, c = 4.8276 Å
α = 60.00°, β = 60.00°, γ = 60.00°
With the nearest neighbours (Å) after each atom.
Fractional positions:
Ni 0.2500 0.2500 0.2500  4 Pa 2.96, 4 Nd 2.96
Nd 0.0000 0.0000 0.0000  8 Ni 2.96
Pa 0.5000 0.5000 0.5000  8 Ni 2.96
Ni 0.7500 0.7500 0.7500  4 Pa 2.96, 4 Nd 2.96

***

# 10
Computed, not measured: NdPaNi2 after structural relaxation at the PBE level of DFT.

## Properties
energy of formation: -1.05 eV per formula unit
excess energy over the best structure of this formula in the dataset: 0 meV/atom
calculated density: 9.96 g/cm3
calculated volume: 82.2 Å³/cell

a = 3.4440 Å, b = 3.4440 Å, c = 6.9271 Å
α = 90.00°, β = 90.00°, γ = 90.00°
With the nearest neighbours (Å) after each atom.
Fractional positions:
Nd 0.5000 0.5000 0.0000  8 Ni 3.24, 4 Nd 3.44, 2 Pa 3.46
Pa 0.5000 0.5000 0.5000  8 Ni 2.77
Ni 0.0000 0.0000 0.6916  1 Ni 2.65, 4 Pa 2.77
Ni 0.0000 0.0000 0.3084  1 Ni 2.65, 4 Pa 2.77

***

# 11
Computed, not measured: Nd2PaNi3Pt12 after structural relaxation at the PBE level of DFT.

## Properties
energy of formation: -3.24 eV per formula unit
calculated density: 13.53 g/cm3
calculated volume: 372.6 Å³/cell

a = 8.0787 Å, b = 8.0787 Å, c = 8.0787 Å
α = 59.98°, β = 59.98°, γ = 59.98°
With the nearest neighbours (Å) after each atom.
Fractional positions:
Ni 0.0000 0.0000 0.5000  6 Pt 2.42-2.46
Pa 0.0000 0.0000 0.0000  6 Pt 2.65
Pt 0.1369 0.5983 0.1369  1 Ni 2.46, 1 Pa 2.65
Nd 0.3906 0.3906 0.3906  6 Pt 2.78-2.92
Nd 0.6094 0.6094 0.6094  6 Pt 2.78-2.92
Ni 0.5000 0.0000 0.0000  6 Pt 2.42-2.46
Pt 0.6332 0.1250 0.6332  2 Ni 2.42
Pt 0.3668 0.8750 0.3668  2 Ni 2.42
Ni 0.0000 0.5000 0.0000  6 Pt 2.42-2.46
Pt 0.5983 0.1369 0.1369  1 Ni 2.46, 1 Pa 2.65
Pt 0.1250 0.6332 0.6332  2 Ni 2.42
Pt 0.6332 0.6332 0.1250  2 Ni 2.42
Pt 0.8750 0.3668 0.3668  2 Ni 2.42
Pt 0.8631 0.4017 0.8631  1 Ni 2.46, 1 Pa 2.65
Pt 0.8631 0.8631 0.4017  1 Ni 2.46, 1 Pa 2.65
Pt 0.3668 0.3668 0.8750  2 Ni 2.42
Pt 0.1369 0.1369 0.5983  1 Ni 2.46, 1 Pa 2.65
Pt 0.4017 0.8631 0.8631  1 Ni 2.46, 1 Pa 2.65

***

# 12
Computed, not measured: NdPaNiRu after structural relaxation at the PBE level of DFT.

## Properties
energy of formation: -0.67 eV per formula unit
calculated density: 10.86 g/cm3
calculated volume: 81.8 Å³/cell

a = 4.8723 Å, b = 4.8723 Å, c = 4.8723 Å
α = 60.00°, β = 60.00°, γ = 60.00°
With the nearest neighbours (Å) after each atom.
Fractional positions:
Pa 0.5000 0.5000 0.5000  4 Ru 2.98, 4 Ni 2.98
Nd 0.0000 0.0000 0.0000  4 Ni 2.98, 4 Ru 2.98
Ru 0.7500 0.7500 0.7500  4 Pa 2.98, 4 Nd 2.98
Ni 0.2500 0.2500 0.2500  4 Pa 2.98, 4 Nd 2.98

***

| no. | total energy (eV per atom) | DOS at the Fermi energy (states/eV per cell) | spin magnetization (μB per formula unit) |
| --- | --- | --- | --- |
| 1 | -5.4514 | 8.9 | 0.00 |
| 2 | -5.8520 | 3.8 | 0.00 |
| 3 | -5.8927 | 6.0 | 0.00 |
| 4 | -6.6488 | 3.3 | 0.00 |
| 5 | -6.1516 | 6.8 | 0.00 |
| 6 | -6.3463 | 14.2 | 1.47 |
| 7 | -6.2633 | 11.1 | 0.00 |
| 8 | -5.8671 | 5.1 | 0.00 |
| 9 | -6.5550 | 6.6 | 0.00 |
| 10 | -6.7184 | 4.8 | 0.00 |
| 11 | -6.2282 | 16.9 | 1.63 |
| 12 | -7.4971 | 6.7 | 0.00 |